DFT (GGA+U) results for a relaxed structure of NaTeMo2O8.

```
data_NaTeMo2O8
_chemical_formula_sum 'Na2 Te2 Mo4 O16'
_cell_length_a 6.693
_cell_length_b 6.917
_cell_length_c 6.507
_cell_angle_alpha 90.00
_cell_angle_beta 90.00
_cell_angle_gamma 90.00
_space_group_name_H-M_alt 'C m m m'
_space_group_IT_number 65
_space_group_name_Hall '-C 2 2'
loop_
_atom_site_label
_atom_site_fract_x
_atom_site_fract_y
_atom_site_fract_z
Na1 0.000 0.000 0.000
Te1 0.000 0.000 0.500
Mo1 0.000 0.500 0.239
O1 0.000 0.302 0.500
O2 0.000 0.322 0.000
O3 0.216 0.000 0.274
```

Results
The total energy comes out at -6.2738 eV/atom. As for the volume: 12.551 A^3/atom.